DFT (PBE) results for crystalline MgTlIrO6 at its relaxed geometry.

Raw formation energy (eV/f.u.): -8.3
Size of the total moment (μB/f.u.): 0.00
Volume (Å³ per atom): 12.4

extended XYZ file:
```
18
Lattice="5.478 0.000 0.000 -2.739 4.744 0.000 0.000 0.000 8.564" Properties=species:S:1:pos:R:3 pbc="T T T"
Mg 0.000 0.000 0.000
Mg 0.000 0.000 4.282
Tl 0.000 3.163 2.141
Tl 2.739 1.581 6.423
Ir 0.000 3.163 6.423
Ir 2.739 1.581 2.141
O -0.717 1.749 5.342
O -1.583 3.248 7.505
O 0.717 1.749 7.505
O -0.865 4.491 5.342
O 1.874 0.253 1.060
O 1.156 1.496 3.222
O 1.583 3.248 5.342
O 0.865 4.491 7.505
O 3.604 0.253 3.222
O 2.022 2.995 1.060
O 4.322 1.496 1.060
O 3.456 2.995 3.222
```

***

DFT (PBE) results for crystalline MgTl2IrO6 at its relaxed geometry.

Raw formation energy (eV/f.u.): -10.9
Size of the total moment (μB/f.u.): 0.94
Volume (Å³ per atom): 12.4

extended XYZ file:
```
20
Lattice="5.544 0.000 0.000 0.000 5.594 0.000 -5.448 0.000 7.977" Properties=species:S:1:pos:R:3 pbc="T T T"
Mg 0.000 0.000 0.000
Mg -2.724 2.797 3.989
Tl -2.783 0.229 5.940
Tl -0.059 2.568 1.951
Tl 0.156 3.026 6.026
Tl 2.880 5.365 2.038
Ir 0.048 0.000 3.989
Ir 2.772 2.797 0.000
O -1.533 1.126 3.557
O -4.257 1.670 7.546
O -1.048 4.013 3.498
O -3.772 4.377 7.487
O 0.616 0.252 2.090
O -2.108 2.545 6.079
O 2.205 3.049 1.898
O -0.519 5.342 5.887
O 3.868 1.216 0.490
O 1.144 1.580 4.479
O 4.354 3.923 0.432
O 1.630 4.467 4.421
```

***

DFT (PBE) results for crystalline MgUIrO6 at its relaxed geometry.

Raw formation energy (eV/f.u.): -19.6
Size of the total moment (μB/f.u.): 0.81
Volume (Å³ per atom): 12.0

extended XYZ file:
```
18
Lattice="5.171 0.000 0.000 -2.585 4.478 0.000 0.000 0.000 9.354" Properties=species:S:1:pos:R:3 pbc="T T T"
Mg 0.000 2.985 2.339
Mg 2.585 1.493 7.016
U 0.000 0.000 0.000
U 0.000 0.000 4.677
Ir 0.000 2.985 7.016
Ir 2.585 1.493 2.339
O -0.813 1.533 5.899
O -1.665 3.007 8.132
O 0.813 1.533 8.132
O -0.852 4.416 5.899
O 1.734 0.062 1.222
O 0.921 1.470 3.455
O 1.665 3.007 5.899
O 0.852 4.416 8.132
O 3.437 0.062 3.455
O 1.772 2.945 1.222
O 4.250 1.470 1.222
O 3.398 2.945 3.455
```